CsIn3Au2 | Alexandria via LeMat-Bulk | GGA-PBE | relaxed; SG = C2/m; distance to the lowest polymorph of the same formula = 0 meV per atom; theoretical density = 7.5 g/cm³
1.0
4.901 0.000 0.000
-2.450 8.356 0.496
0.000 -3.314 9.201
Cs In Au
2 6 4
Cartesian
2.450 2.964 9.083 Cs
0.000 2.078 0.615 Cs
0.000 3.470 5.633 In
2.450 5.996 6.493 In
2.450 -0.072 6.809 In
0.000 5.114 2.888 In
0.000 -0.954 3.204 In
2.450 1.572 4.065 In
0.000 5.447 7.658 Au
2.450 -0.405 2.039 Au
2.450 4.398 4.131 Au
0.000 0.645 5.566 Au

=====

Cs4In2Au | Alexandria via LeMat-Bulk | GGA-PBE | relaxed; SG = I4/mmm; electronic total energy = -1.7584 eV per atom; theoretical density = 3.3 g/cm³
1.0
7.388 0.000 0.000
0.000 7.388 0.000
3.694 3.694 8.862
Cs Au In
4 1 2
Cartesian
7.388 7.388 3.476 Cs
3.694 3.694 5.386 Cs
0.000 3.694 0.000 Cs
3.694 0.000 0.000 Cs
0.000 0.000 0.000 Au
7.388 7.388 7.427 In
3.694 3.694 1.435 In

=====

CsInAu4 | Alexandria via LeMat-Bulk | GGA-PBE | relaxed; SG = C2/m; distance to the lowest polymorph of the same formula = 0 meV per atom; theoretical density = 10.8 g/cm³
1.0
-1.106 1.474 -6.867
-4.503 -5.152 -0.381
-2.726 6.867 0.994
Cs In Au
2 2 8
Cartesian
-5.929 1.042 -5.646 Cs
-2.406 2.148 -0.607 Cs
-2.965 -1.822 -1.951 In
-5.370 5.012 -4.302 In
-4.942 -0.049 -2.565 Au
-3.174 5.623 -1.955 Au
-0.942 -1.078 -0.080 Au
-2.489 0.622 -4.072 Au
-3.392 3.238 -3.689 Au
-5.160 -2.433 -4.298 Au
-3.561 -4.074 -0.301 Au
-5.845 2.567 -2.181 Au

=====

CsIn3Au | Alexandria via LeMat-Bulk | GGA-PBE | relaxed; SG = P2_1/c; distance to the lowest polymorph of the same formula = 8 meV per atom; theoretical density = 6.8 g/cm³
1.0
6.739 0.000 0.000
0.000 10.419 -0.241
0.000 -2.322 9.440
Cs In Au
4 12 4
Cartesian
4.104 3.632 2.732 Cs
2.635 4.466 6.467 Cs
0.735 5.627 1.747 Cs
6.004 2.471 7.452 Cs
0.406 9.218 2.582 In
6.333 -1.120 6.617 In
3.775 0.041 1.897 In
2.964 8.057 7.302 In
0.791 1.433 0.727 In
5.948 6.665 8.472 In
4.160 7.826 3.752 In
2.579 0.272 5.447 In
4.009 7.391 0.713 In
2.730 0.707 8.487 In
0.639 1.868 3.767 In
6.100 6.230 5.432 In
4.949 -0.972 9.115 Au
1.790 9.069 0.085 Au
1.579 7.909 4.804 Au
5.160 0.189 4.395 Au

=====

CsIn3Au2 | Alexandria via LeMat-Bulk | GGA-PBE | relaxed; SG = C2/m; distance to the lowest polymorph of the same formula = 21 meV per atom; theoretical density = 8.4 g/cm³
1.0
-2.902 -2.509 2.748
-2.563 -2.553 -9.089
8.957 -7.307 2.784
Cs In Au
3 9 6
Cartesian
5.106 -6.396 -0.450 Cs
-1.613 -5.973 -3.107 Cs
0.000 0.000 0.000 Cs
2.846 -2.940 0.320 In
0.646 -9.429 -3.877 In
1.744 -4.454 -2.226 In
1.748 -7.916 -1.331 In
-0.599 -3.766 -0.020 In
4.091 -8.604 -3.538 In
3.028 -4.908 2.766 In
-2.337 -2.728 -4.960 In
5.830 -9.641 1.403 In
-0.461 -2.416 -2.693 Au
3.954 -9.954 -0.864 Au
-1.846 -5.168 -6.669 Au
5.339 -7.202 3.112 Au
2.017 -6.661 -3.953 Au
1.476 -5.709 0.396 Au

=====

CsInAu | Alexandria via LeMat-Bulk | GGA-PBE | relaxed; SG = P2_13; distance to the lowest polymorph of the same formula = 0 meV per atom; theoretical density = 6.4 g/cm³
1.0
-4.982 -4.964 -3.198
1.991 -5.351 5.205
-5.559 2.532 4.730
Cs In Au
4 4 4
Cartesian
-1.253 -1.141 0.987 Cs
-7.262 -2.940 3.808 Cs
-3.656 -4.685 6.369 Cs
-4.930 -6.802 2.307 Cs
-1.285 -4.839 2.955 In
-3.647 -0.976 4.421 In
-4.889 -3.126 0.361 In
-7.279 -6.626 5.735 In
-3.484 -3.171 2.744 Au
-4.326 -1.333 7.080 Au
-7.631 -3.500 0.382 Au
-1.660 -7.563 3.265 Au

=====

CsInAu | Alexandria via LeMat-Bulk | GGA-PBE | relaxed; SG = I4mm; distance to the lowest polymorph of the same formula = 97 meV per atom; theoretical density = 7.1 g/cm³
1.0
-3.631 1.388 0.616
0.207 -1.130 3.765
4.266 5.822 -0.544
Cs Au In
1 1 1
Cartesian
0.011 0.027 0.007 Cs
-0.602 2.717 2.906 Au
1.432 3.336 0.923 In

=====

CsIn5Au2 | Alexandria via LeMat-Bulk | GGA-PBE | relaxed; SG = Immm; electronic total energy = -2.8413 eV per atom; theoretical density = 8.1 g/cm³
1.0
4.691 0.000 0.000
2.345 7.128 0.125
2.345 2.264 6.760
Cs In Au
1 5 2
Cartesian
0.000 0.000 0.000 Cs
2.345 4.696 3.443 In
4.691 4.202 1.120 In
4.691 5.190 5.765 In
4.691 7.060 3.215 In
4.691 2.332 3.670 In
7.036 6.940 5.088 Au
2.345 2.452 1.797 Au

=====

Which formula does entry 4 have?
CsIn3Au